(1)
RbBi3Ru: relaxed, PBE.

Calculated values
- Fermi-level density of states: 2.068 states/eV/atom
- Crystal system: cubic
- Total moment: 0.0 Bohr magnetons per cell
- ΔE to the lowest computed polymorph: 1.977 eV per atom
- Calculated formation energy: 2235.1 meV/atom

Structure (extended XYZ):
```
5
Lattice="5.868 0.000 0.000 0.000 5.868 0.000 0.000 0.000 5.868" Properties=species:S:1:pos:R:3 pbc="T T T"
Rb 0.000 0.000 0.000
Bi 0.000 0.000 2.934
Bi 0.000 2.934 0.000
Bi 2.934 0.000 0.000
Ru 2.934 2.934 2.934
```

(2)
GaSb2Au2: relaxed, PBE.

Calculated values
- Fermi-level density of states: 0.506 states/eV/atom
- Crystal system: tetragonal
- Total moment: 0.0 Bohr magnetons per cell
- ΔE to the lowest computed polymorph: 0.142 eV per atom
- Formation energy (no corrections): 0.12 eV per atom

Structure (extended XYZ):
```
10
Lattice="7.966 0.000 0.000 0.000 7.966 0.000 0.000 0.000 3.720" Properties=species:S:1:pos:R:3 pbc="T T T"
Ga 0.000 0.000 0.000
Ga 3.983 3.983 0.000
Sb 1.452 2.531 0.000
Sb 2.531 6.514 0.000
Sb 5.435 1.452 0.000
Sb 6.514 5.435 0.000
Au 1.000 4.983 1.860
Au 2.983 1.000 1.860
Au 4.983 6.966 1.860
Au 6.966 2.983 1.860
```

(3)
Ba2AlSi3Au4: relaxed, PBE.

Calculated values
- Fermi-level density of states: 0.590 states/eV/atom
- Crystal system: tetragonal
- Total moment: 0.0 Bohr magnetons per cell
- Formation energy (no corrections): -0.48 eV per atom

Structure (extended XYZ):
```
10
Lattice="4.530 0.000 0.000 0.000 4.530 0.000 0.000 0.000 10.739" Properties=species:S:1:pos:R:3 pbc="T T T"
Ba 0.000 2.265 2.651
Ba 2.265 0.000 8.088
Al 0.000 0.000 5.370
Si 0.000 2.265 9.387
Si 2.265 0.000 1.352
Si 2.265 2.265 5.370
Au 0.000 0.000 0.000
Au 0.000 2.265 6.714
Au 2.265 0.000 4.025
Au 2.265 2.265 0.000
```

(4)
Tb5Ho4: relaxed, PBE.

Calculated values
- Fermi-level density of states: 1.412 states/eV/atom
- Crystal system: monoclinic
- Total moment: 0.0 Bohr magnetons per cell
- Calculated formation energy: 18.0 meV/atom

Structure (extended XYZ):
```
9
Lattice="5.866 -5.308 0.000 5.866 5.308 0.000 -2.119 0.000 4.522" Properties=species:S:1:pos:R:3 pbc="T T T"
Tb 0.000 0.000 0.000
Tb 3.200 0.000 1.505
Tb 5.866 1.773 0.000
Tb 5.866 -1.773 0.000
Tb 6.413 0.000 3.016
Ho 0.543 1.769 3.014
Ho 9.070 -1.769 1.507
Ho 0.543 -1.769 3.014
Ho 9.070 1.769 1.507
```

(5)
Pu2PaO: relaxed, PBE.

Calculated values
- Crystal system: trigonal
- Total moment: 0.0 Bohr magnetons per cell
- Formation energy (no corrections): -0.41 eV per atom

Structure (extended XYZ):
```
4
Lattice="1.806 1.043 5.611 -1.806 1.043 5.611 0.000 -2.086 5.611" Properties=species:S:1:pos:R:3 pbc="T T T"
Pu 0.000 0.000 4.063
Pu 0.000 0.000 12.772
Pa 0.000 0.000 0.000
O 0.000 0.000 8.417
```

(6)
BaTa2: relaxed, PBE.

Calculated values
- Fermi-level density of states: 1.017 states/eV/atom
- Crystal system: tetragonal
- Total moment: 0.0 Bohr magnetons per cell
- ΔE to the lowest computed polymorph: 0.244 eV per atom
- Calculated formation energy: 789.2 meV/atom

Structure (extended XYZ):
```
3
Lattice="-1.786 1.786 6.427 1.786 -1.786 6.427 1.786 1.786 -6.427" Properties=species:S:1:pos:R:3 pbc="T T T"
Ba 0.000 0.000 0.000
Ta 0.000 0.000 3.735
Ta 0.000 0.000 9.119
```

(7)
Ca3ZnGe: relaxed, PBE.

Calculated values
- Fermi-level density of states: 0.827 states/eV/atom
- Crystal system: cubic
- Total moment: 0.0 Bohr magnetons per cell
- ΔE to the lowest computed polymorph: 0.228 eV per atom
- Calculated formation energy: -102.6 meV/atom

Structure (extended XYZ):
```
5
Lattice="5.681 0.000 0.000 0.000 5.681 0.000 0.000 0.000 5.681" Properties=species:S:1:pos:R:3 pbc="T T T"
Ca 0.000 0.000 2.840
Ca 0.000 2.840 0.000
Ca 2.840 0.000 0.000
Zn 2.840 2.840 2.840
Ge 0.000 0.000 0.000
```

(8)
Er2Ga5Co2Pd: relaxed, PBE.

Calculated values
- Fermi-level density of states: 0.679 states/eV/atom
- Crystal system: tetragonal
- Total moment: 0.0 Bohr magnetons per cell
- Calculated formation energy: -479.1 meV/atom

Structure (extended XYZ):
```
20
Lattice="9.094 0.000 0.000 0.000 9.094 0.000 0.000 0.000 4.013" Properties=species:S:1:pos:R:3 pbc="T T T"
Er 1.646 2.901 0.000
Er 2.901 7.448 0.000
Er 6.192 1.646 0.000
Er 7.448 6.192 0.000
Ga 0.000 4.547 2.006
Ga 0.564 7.201 2.006
Ga 1.893 0.564 2.006
Ga 2.654 5.110 2.006
Ga 3.983 2.654 2.006
Ga 4.547 0.000 2.006
Ga 5.110 6.440 2.006
Ga 6.440 3.983 2.006
Ga 7.201 8.530 2.006
Ga 8.530 1.893 2.006
Co 1.024 5.571 0.000
Co 3.522 1.024 0.000
Co 5.571 8.069 0.000
Co 8.069 3.522 0.000
Pd 0.000 0.000 0.000
Pd 4.547 4.547 0.000
```

(9)
KTcNi: relaxed, PBE.

Calculated values
- Fermi-level density of states: 0.886 states/eV/atom
- Crystal system: monoclinic
- Total moment: 0.0 Bohr magnetons per cell
- ΔE to the lowest computed polymorph: 0.108 eV per atom
- Calculated formation energy: 533.6 meV/atom

Structure (extended XYZ):
```
6
Lattice="5.063 0.000 0.000 0.000 3.763 0.000 -1.285 0.000 8.927" Properties=species:S:1:pos:R:3 pbc="T T T"
K 0.619 0.941 2.836
K 3.159 2.822 6.091
Tc 0.676 0.941 8.412
Tc 3.102 2.822 0.515
Ni 0.594 2.822 0.345
Ni 3.184 0.941 8.581
```

(10)
Sm5PuMg4: relaxed, PBE.

Calculated values
- Fermi-level density of states: 1.761 states/eV/atom
- Crystal system: tetragonal
- Total moment: 6.9 Bohr magnetons per cell
- Calculated formation energy: -24.3 meV/atom

Structure (extended XYZ):
```
10
Lattice="3.769 0.000 0.000 0.000 3.769 0.000 0.000 0.000 20.466" Properties=species:S:1:pos:R:3 pbc="T T T"
Sm 0.000 0.000 0.000
Sm 0.000 0.000 3.931
Sm 0.000 0.000 7.938
Sm 0.000 0.000 12.528
Sm 0.000 0.000 16.535
Pu 1.885 1.885 10.233
Mg 1.885 1.885 1.968
Mg 1.885 1.885 5.935
Mg 1.885 1.885 14.531
Mg 1.885 1.885 18.498
```

(11)
Pm2SiH2: relaxed, PBE.

Calculated values
- Fermi-level density of states: 0.282 states/eV/atom
- Crystal system: orthorhombic
- Total moment: 0.0 Bohr magnetons per cell

Structure (extended XYZ):
```
5
Lattice="0.000 2.676 6.235 2.590 0.000 6.235 2.590 2.676 0.000" Properties=species:S:1:pos:R:3 pbc="T T T"
Pm 2.590 2.676 1.718
Pm 2.590 2.676 10.752
Si 2.590 2.676 6.235
H 1.295 1.338 3.118
H 3.886 4.014 9.353
```

(12)
CsTb2I8: relaxed, PBE.

Calculated values
- Fermi-level density of states: 0.380 states/eV/atom
- Crystal system: tetragonal
- Total moment: 0.0 Bohr magnetons per cell
- Formation energy (no corrections): -1.12 eV per atom

Structure (extended XYZ):
```
11
Lattice="7.549 0.000 0.000 0.000 7.549 0.000 0.000 0.000 9.585" Properties=species:S:1:pos:R:3 pbc="T T T"
Cs 0.000 0.000 0.000
Tb 0.000 3.774 4.793
Tb 3.774 0.000 4.793
I 1.900 1.900 2.930
I 1.900 1.900 6.655
I 1.900 5.649 2.930
I 1.900 5.649 6.655
I 5.649 1.900 2.930
I 5.649 1.900 6.655
I 5.649 5.649 2.930
I 5.649 5.649 6.655
```

(13)
ReMo2Cl: relaxed, PBE.

Calculated values
- Fermi-level density of states: 0.497 states/eV/atom
- Crystal system: monoclinic
- Total moment: 0.0 Bohr magnetons per cell
- ΔE to the lowest computed polymorph: 0.309 eV per atom
- Formation energy (no corrections): 0.55 eV per atom

Structure (extended XYZ):
```
4
Lattice="2.891 0.000 0.000 0.000 4.168 0.000 -1.226 0.000 5.386" Properties=species:S:1:pos:R:3 pbc="T T T"
Re 0.000 0.000 0.000
Mo 0.063 2.084 4.199
Mo 1.738 0.000 2.935
Cl -0.057 2.084 1.807
```

Respective VASP energy values: -10.7; -34.5; -41.7; -41.3; -44.8; -23.3; -12.4; -96.9; -31.3; -44.5; -24.7; -34.8; -33.8 eV for the cell shown.